No. 1
MgZr2Rh4 | PBE | relaxed

For the formation energy, the calculation gives -0.55 eV per atom. As for the crystal system: trigonal. The symmetry is R-3m (166). For the magnetization, the calculation gives 0.00 μB/f.u.

Structure (POSCAR):
```
MgZr2Rh4
1.0
4.241 0.000 1.325
1.913 3.785 1.325
-0.087 -0.053 7.726
Zr Rh Mg
2 4 1
Direct
0.754 0.754 0.738 Zr
0.246 0.246 0.262 Zr
0.125 0.125 0.625 Rh
0.625 0.625 0.125 Rh
0.875 0.875 0.375 Rh
0.375 0.375 0.875 Rh
0.000 0.000 0.000 Mg
```

No. 2
PmPaW4 | PBE | relaxed

For the formation energy, the calculation gives 0.21 eV per atom. As for the crystal system: cubic. The symmetry is F-43m (216). For the magnetization, the calculation gives 0.00 μB/f.u.

Structure (POSCAR):
```
PmPaW4
1.0
5.563 0.000 0.000
2.782 4.818 0.000
2.782 1.606 4.543
W Pm Pa
4 1 1
Direct
0.126 0.625 0.625 W
0.625 0.625 0.126 W
0.625 0.625 0.625 W
0.625 0.126 0.625 W
0.000 0.000 0.000 Pm
0.250 0.250 0.250 Pa
```

No. 3
Sc5InNi | PBE | relaxed

For the formation energy, the calculation gives -0.11 eV per atom. As for the crystal system: monoclinic. The symmetry is C2/c (15). For the magnetization, the calculation gives 0.00 μB/f.u.

Structure (POSCAR):
```
Sc5InNi
1.0
5.947 0.384 -0.104
2.251 5.518 -0.104
2.828 2.036 9.941
Sc In Ni
10 2 2
Direct
0.972 0.028 0.250 Sc
0.028 0.972 0.750 Sc
0.459 0.795 0.951 Sc
0.037 0.404 0.861 Sc
0.205 0.541 0.549 Sc
0.795 0.459 0.451 Sc
0.404 0.037 0.361 Sc
0.963 0.596 0.139 Sc
0.541 0.205 0.049 Sc
0.596 0.963 0.639 Sc
0.545 0.455 0.750 In
0.455 0.545 0.250 In
0.000 0.000 0.000 Ni
0.000 0.000 0.500 Ni
```

No. 4
Na2HfO | PBE | relaxed

As for the crystal system: tetragonal. The symmetry is I-42d (122). For the magnetization, the calculation gives 0.00 μB/f.u. Its uncorrected formation energy is -0.67 eV per atom.

Structure (POSCAR):
```
Na2HfO
1.0
-4.654 -6.793 5.961
4.958 -7.525 -4.705
1.640 -7.011 1.959
Hf Na O
2 4 2
Direct
0.000 0.000 0.000 Hf
0.750 0.250 0.500 Hf
0.875 0.505 0.750 Na
0.495 0.625 0.250 Na
0.375 0.745 0.750 Na
0.255 0.125 0.250 Na
0.500 0.500 0.000 O
0.250 0.750 0.500 O
```

No. 5
BaScSe | PBE | relaxed

As for the crystal system: trigonal. The symmetry is P3m1 (156). For the magnetization, the calculation gives 0.00 μB/f.u. Its uncorrected formation energy is -0.80 eV per atom. Its polymorph energy (0 for the lowest one) is 102 meV/atom.

Structure (POSCAR):
```
BaScSe
1.0
-2.446 -3.897 -0.459
1.641 2.154 -3.748
4.561 -2.902 0.329
Ba Sc Se
1 1 1
Direct
0.000 0.000 0.001 Ba
0.667 0.333 0.500 Sc
0.333 0.667 0.499 Se
```

No. 6
CrNiHPd2 | PBE | relaxed

As for the crystal system: tetragonal. The symmetry is P4/mmm (123). For the magnetization, the calculation gives 3.26 μB/f.u. Its polymorph energy (0 for the lowest one) is 0 meV/atom.

Structure (POSCAR):
```
CrNiHPd2
1.0
3.960 0.000 0.000
0.000 3.960 0.000
0.000 0.000 3.726
Ni Cr Pd H
1 1 2 1
Direct
0.000 0.000 0.500 Ni
0.500 0.500 0.500 Cr
0.000 0.500 0.000 Pd
0.500 0.000 0.000 Pd
0.000 0.000 0.000 H
```

No. 7
LiCaTc | PBE | relaxed

For the formation energy, the calculation gives 0.28 eV per atom. As for the crystal system: monoclinic. The symmetry is P2_1/m (11). For the magnetization, the calculation gives 0.00 μB/f.u. Its polymorph energy (0 for the lowest one) is 129 meV/atom.

Structure (POSCAR):
```
LiCaTc
1.0
5.345 0.000 -0.003
0.000 3.983 0.000
-1.273 0.000 6.077
Tc Ca Li
2 2 2
Direct
0.020 0.750 0.602 Tc
0.980 0.250 0.398 Tc
0.446 0.750 0.287 Ca
0.554 0.250 0.713 Ca
0.878 0.750 0.067 Li
0.122 0.250 0.933 Li
```

No. 8
Np2Al3Ge3 | PBE | relaxed

For the formation energy, the calculation gives -0.21 eV per atom. As for the crystal system: orthorhombic. The symmetry is Pmmm (47). For the magnetization, the calculation gives 7.14 μB/f.u.

Structure (POSCAR):
```
Np2Al3Ge3
1.0
-4.148 -0.843 0.431
0.944 -3.233 2.760
-0.413 5.238 6.277
Al Ge Np
3 3 2
Direct
0.000 0.500 0.000 Al
0.500 0.500 0.754 Al
0.500 0.500 0.246 Al
0.000 0.500 0.500 Ge
0.500 0.000 0.500 Ge
0.500 0.000 0.000 Ge
0.000 0.000 0.257 Np
0.000 0.000 0.743 Np
```

No. 9
Na7Sr2 | PBE | relaxed

For the formation energy, the calculation gives 0.06 eV per atom. As for the crystal system: trigonal. The symmetry is P-31m (162). For the magnetization, the calculation gives 0.00 μB/f.u. Its polymorph energy (0 for the lowest one) is 26 meV/atom.

Structure (POSCAR):
```
Na7Sr2
1.0
-0.221 -1.150 -6.761
5.182 -2.502 3.738
-4.913 -7.921 1.508
Na Sr
7 2
Direct
0.676 0.000 0.341 Na
0.000 0.324 0.659 Na
0.324 0.324 0.341 Na
0.324 0.000 0.659 Na
0.676 0.676 0.659 Na
0.000 0.000 0.000 Na
0.000 0.676 0.341 Na
0.333 0.667 0.000 Sr
0.667 0.333 0.000 Sr
```

No. 10
ScP5 | PBE | relaxed

For the formation energy, the calculation gives 0.06 eV per atom. As for the crystal system: hexagonal. The symmetry is P-62m (189). For the magnetization, the calculation gives 0.00 μB/f.u.

Structure (POSCAR):
```
ScP5
1.0
-1.221 2.818 3.719
-1.258 1.247 -4.486
-4.245 -2.495 0.497
P Sc
5 1
Direct
0.333 0.667 0.500 P
0.667 0.333 0.500 P
0.000 0.731 0.000 P
0.269 0.269 0.000 P
0.731 0.000 0.000 P
0.000 0.000 0.500 Sc
```

No. 11
NaCe2Pb4 | PBE | relaxed

For the formation energy, the calculation gives -0.12 eV per atom. As for the crystal system: tetragonal. The symmetry is I4/mmm (139). For the magnetization, the calculation gives 1.90 μB/f.u.

Structure (POSCAR):
```
NaCe2Pb4
1.0
0.860 -0.063 -5.914
5.332 -2.577 0.803
-5.835 -4.453 2.219
Ce Pb Na
2 4 1
Direct
0.357 0.357 0.714 Ce
0.643 0.643 0.286 Ce
0.000 0.500 0.000 Pb
0.500 0.000 0.000 Pb
0.750 0.250 0.500 Pb
0.250 0.750 0.500 Pb
0.000 0.000 0.000 Na
```

No. 12
KBaP2 | PBE | relaxed

For the formation energy, the calculation gives -0.23 eV per atom. As for the crystal system: tetragonal. The symmetry is P4/mmm (123). For the magnetization, the calculation gives 0.00 μB/f.u. Its polymorph energy (0 for the lowest one) is 417 meV/atom.

Structure (POSCAR):
```
KBaP2
1.0
-1.840 4.527 0.281
-1.749 -0.428 -4.549
-3.910 -1.692 1.663
K Ba P
1 1 2
Direct
0.000 0.500 0.500 K
0.500 0.000 0.500 Ba
0.500 0.500 0.000 P
0.000 0.000 0.000 P
```

No. 13
Si2SnIrS | PBE | relaxed

As for the crystal system: tetragonal. The symmetry is P4/mmm (123). For the magnetization, the calculation gives 0.00 μB/f.u. Its uncorrected formation energy is 0.13 eV per atom.

Structure (POSCAR):
```
Si2SnIrS
1.0
-3.485 2.774 0.814
0.393 -1.090 5.402
2.873 3.465 0.490
S Ir Sn Si
1 1 1 2
Direct
0.500 0.500 0.500 S
0.000 0.000 0.000 Ir
0.000 0.500 0.000 Sn
0.500 0.000 0.000 Si
0.000 0.000 0.500 Si
```

No. 14
BaSnHg | PBE | relaxed

For the formation energy, the calculation gives -0.54 eV per atom. As for the crystal system: triclinic. The symmetry is P-1 (2). For the magnetization, the calculation gives 0.00 μB/f.u.

Structure (POSCAR):
```
BaSnHg
1.0
-2.700 -2.508 2.758
3.621 0.189 3.726
-6.889 6.100 2.779
Hg Sn Ba
2 2 2
Direct
0.692 0.417 0.669 Hg
0.910 0.849 0.534 Hg
0.999 0.684 0.200 Sn
0.601 0.583 0.003 Sn
0.169 0.018 0.871 Ba
0.432 0.249 0.332 Ba
```

No. 15
NiMo2Br | PBE | relaxed

As for the crystal system: cubic. The symmetry is Fm-3m (225). For the magnetization, the calculation gives 0.00 μB/f.u. Its uncorrected formation energy is 0.73 eV per atom. Its polymorph energy (0 for the lowest one) is 371 meV/atom.

Structure (POSCAR):
```
NiMo2Br
1.0
-2.102 -3.659 -1.128
-1.798 -2.523 3.079
-4.346 -0.226 0.375
Br Mo Ni
1 2 1
Direct
0.500 0.500 0.500 Br
0.750 0.750 0.750 Mo
0.250 0.250 0.250 Mo
0.000 0.000 0.000 Ni
```

No. 16
LiUSeN | PBE | relaxed

As for the crystal system: trigonal. The symmetry is R-3m (166). For the magnetization, the calculation gives 2.00 μB/f.u. Its uncorrected formation energy is -1.35 eV per atom.

Structure (POSCAR):
```
LiUSeN
1.0
-3.077 -1.038 2.166
-1.941 -3.286 -0.815
4.659 -6.779 6.887
U Se Li N
2 2 2 2
Direct
0.877 0.877 0.368 U
0.123 0.123 0.632 U
0.610 0.610 0.171 Se
0.390 0.390 0.829 Se
0.306 0.306 0.082 Li
0.694 0.694 0.918 Li
0.806 0.806 0.583 N
0.194 0.194 0.417 N
```

No. 17
Ac3GaIr | PBE | relaxed

For the formation energy, the calculation gives -0.49 eV per atom. As for the crystal system: orthorhombic. The symmetry is Pnma (62). For the magnetization, the calculation gives 0.00 μB/f.u. Its polymorph energy (0 for the lowest one) is 0 meV/atom.

Structure (POSCAR):
```
Ac3GaIr
1.0
4.795 0.000 0.000
0.000 8.875 0.000
0.000 0.000 15.562
Ac Ga Ir
12 4 4
Direct
0.250 0.352 0.524 Ac
0.750 0.148 0.024 Ac
0.750 0.648 0.476 Ac
0.750 0.503 0.889 Ac
0.750 0.827 0.214 Ac
0.250 0.852 0.976 Ac
0.250 0.497 0.111 Ac
0.750 0.003 0.611 Ac
0.750 0.327 0.286 Ac
0.250 0.997 0.389 Ac
0.250 0.673 0.714 Ac
0.250 0.173 0.786 Ac
0.250 0.609 0.324 Ga
0.750 0.391 0.676 Ga
0.250 0.109 0.176 Ga
0.750 0.891 0.824 Ga
0.250 0.312 0.951 Ir
0.750 0.188 0.451 Ir
0.750 0.688 0.049 Ir
0.250 0.812 0.549 Ir
```

No. 18
DyPuPd4 | PBE | relaxed

For the formation energy, the calculation gives -0.66 eV per atom. As for the crystal system: cubic. The symmetry is F-43m (216). For the magnetization, the calculation gives 5.34 μB/f.u. Its polymorph energy (0 for the lowest one) is 0 meV/atom.

Structure (POSCAR):
```
DyPuPd4
1.0
-3.868 2.477 -2.934
-5.259 -0.942 1.075
-3.060 3.900 2.265
Dy Pd Pu
1 4 1
Direct
0.000 0.000 0.000 Dy
0.625 0.625 0.125 Pd
0.625 0.625 0.625 Pd
0.125 0.625 0.625 Pd
0.625 0.125 0.625 Pd
0.250 0.250 0.250 Pu
```

No. 19
MgNb3N | PBE | relaxed

As for the crystal system: cubic. The symmetry is Pm-3m (221). For the magnetization, the calculation gives 0.00 μB/f.u. Its uncorrected formation energy is 2.76 eV per atom. Its polymorph energy (0 for the lowest one) is 3082 meV/atom.

Structure (POSCAR):
```
MgNb3N
1.0
4.699 0.000 0.000
0.000 4.699 0.000
0.000 0.000 4.699
Nb N Mg
3 1 1
Direct
0.500 0.000 0.000 Nb
0.000 0.500 0.000 Nb
0.000 0.000 0.500 Nb
0.500 0.500 0.500 N
0.000 0.000 0.000 Mg
```

No. 20
ZnCu2Br | PBE | relaxed

As for the crystal system: orthorhombic. The symmetry is Immm (71). For the magnetization, the calculation gives 0.00 μB/f.u. Its uncorrected formation energy is 0.30 eV per atom. Its polymorph energy (0 for the lowest one) is 254 meV/atom.

Structure (POSCAR):
```
ZnCu2Br
1.0
-3.021 2.107 -3.757
-0.710 -4.171 -3.127
-1.046 2.162 4.681
Cu Zn Br
2 1 1
Direct
0.507 0.507 0.000 Cu
0.993 0.993 0.000 Cu
0.750 0.250 0.500 Zn
0.250 0.750 0.500 Br
```